P:
Entry from the Alexandria database: a relaxed Li2SnHAu crystal (PBE).

a = 4.264 Å, b = 4.264 Å, c = 3.931 Å
α = 90.00°, β = 90.00°, γ = 90.00°
Sites, in units of the cell vectors:
Li: 0.000 0.500 0.000
Li: 0.500 0.000 0.000
Sn: 0.000 0.000 0.500
H: 0.500 0.500 0.000
Au: 0.500 0.500 0.500

Properties
- SG = P4/mmm
- DOS at the Fermi energy (states/eV/cell) = 1.750
- total moment (μB/cell) = 0.00
- V (A^3/atom) = 14.30

=====

Q:
Entry from the Alexandria database: a relaxed Li2SnHAu crystal (PBE).

a = 4.103 Å, b = 4.103 Å, c = 4.384 Å
α = 90.00°, β = 90.00°, γ = 90.00°
Sites, in units of the cell vectors:
Li: 0.000 0.500 0.000
Li: 0.500 0.000 0.000
Sn: 0.000 0.000 0.500
H: 0.000 0.000 0.000
Au: 0.500 0.500 0.500

Properties
- SG = P4/mmm
- DOS at the Fermi energy (states/eV/cell) = 1.349
- total moment (μB/cell) = 0.00
- V (A^3/atom) = 14.76

=====

How do the energies compare? Relative to the most stable structure, in kJ/mol of atoms: P 0.0; Q 4.6.

=====

P:
Entry from the Alexandria database: a relaxed Sr2LiHAu crystal (PBE).

a = 5.345 Å, b = 5.345 Å, c = 4.069 Å
α = 90.00°, β = 90.00°, γ = 90.00°
Sites, in units of the cell vectors:
Sr: 0.000 0.500 0.000
Sr: 0.500 0.000 0.000
Li: 0.000 0.000 0.500
H: 0.000 0.000 0.000
Au: 0.500 0.500 0.500

Properties
- SG = P4/mmm
- DOS at the Fermi energy (states/eV/cell) = 3.723
- total moment (μB/cell) = 0.00
- V (A^3/atom) = 23.25

=====

Q:
Entry from the Alexandria database: a relaxed Sr2LiHAu crystal (PBE).

a = 6.537 Å, b = 4.463 Å, c = 9.324 Å
α = 90.00°, β = 109.66°, γ = 90.00°
Sites, in units of the cell vectors:
Sr: 0.225 0.250 0.429
Sr: 0.267 0.750 0.052
Sr: 0.733 0.250 0.948
Sr: 0.775 0.750 0.571
Li: 0.331 0.750 0.708
Li: 0.669 0.250 0.292
H: 0.385 0.750 0.530
H: 0.615 0.250 0.470
Au: 0.153 0.250 0.785
Au: 0.847 0.750 0.215

Properties
- SG = P2_1/m
- DOS at the Fermi energy (states/eV/cell) = 5.762
- total moment (μB/cell) = 0.00
- V (A^3/atom) = 25.62

=====

How do the energies compare? Relative to the most stable structure, in kJ/mol of atoms: P 2.5; Q 0.0.

=====

P:
Entry from the Alexandria database: a relaxed SrLi2HAu crystal (PBE).

a = 4.320 Å, b = 4.320 Å, c = 5.079 Å
α = 90.00°, β = 90.00°, γ = 90.00°
Sites, in units of the cell vectors:
Sr: 0.000 0.000 0.000
Li: 0.000 0.500 0.500
Li: 0.500 0.000 0.500
H: 0.000 0.000 0.500
Au: 0.500 0.500 0.000

Properties
- SG = P4/mmm
- DOS at the Fermi energy (states/eV/cell) = 3.034
- total moment (μB/cell) = 0.00
- V (A^3/atom) = 18.96

=====

Q:
Entry from the Alexandria database: a relaxed SrLi2HAu crystal (PBE).

a = 6.082 Å, b = 6.082 Å, c = 7.906 Å
α = 90.00°, β = 90.00°, γ = 140.26°
Sites, in units of the cell vectors:
Sr: 0.052 0.948 0.750
Sr: 0.948 0.052 0.250
Li: 0.336 0.664 0.556
Li: 0.336 0.664 0.944
Li: 0.664 0.336 0.056
Li: 0.664 0.336 0.444
H: 0.500 0.500 0.000
H: 0.500 0.500 0.500
Au: 0.226 0.774 0.250
Au: 0.774 0.226 0.750

Properties
- SG = Cmcm
- DOS at the Fermi energy (states/eV/cell) = 3.743
- total moment (μB/cell) = 0.00
- V (A^3/atom) = 18.70

=====

How do the energies compare? Relative to the most stable structure, in kJ/mol of atoms: P 7.5; Q 0.0.

=====

P:
Entry from the Alexandria database: a relaxed Li2ZnHAu crystal (PBE).

a = 3.909 Å, b = 3.909 Å, c = 4.008 Å
α = 90.00°, β = 90.00°, γ = 90.00°
Sites, in units of the cell vectors:
Li: 0.000 0.500 0.000
Li: 0.500 0.000 0.000
Zn: 0.000 0.000 0.500
H: 0.000 0.000 0.000
Au: 0.500 0.500 0.500

Properties
- SG = P4/mmm
- DOS at the Fermi energy (states/eV/cell) = 0.570
- total moment (μB/cell) = 0.00
- V (A^3/atom) = 12.25

=====

Q:
Entry from the Alexandria database: a relaxed Li2ZnHAu crystal (PBE).

a = 4.159 Å, b = 4.159 Å, c = 3.705 Å
α = 90.00°, β = 90.00°, γ = 90.00°
Sites, in units of the cell vectors:
Li: 0.000 0.500 0.000
Li: 0.500 0.000 0.000
Zn: 0.000 0.000 0.500
H: 0.500 0.500 0.000
Au: 0.500 0.500 0.500

Properties
- SG = P4/mmm
- DOS at the Fermi energy (states/eV/cell) = 0.716
- total moment (μB/cell) = 0.00
- V (A^3/atom) = 12.81

=====

How do the energies compare? Relative to the most stable structure, in kJ/mol of atoms: P 0.0; Q 4.5.

=====

P:
Entry from the Alexandria database: a relaxed LuHAu crystal (PBE).

a = 3.683 Å, b = 3.683 Å, c = 4.234 Å
α = 90.00°, β = 90.00°, γ = 120.00°
Sites, in units of the cell vectors:
Lu: 0.000 0.000 0.000
H: 0.333 0.667 0.999
Au: 0.667 0.333 0.500

Properties
- SG = P3m1
- DOS at the Fermi energy (states/eV/cell) = 1.584
- total moment (μB/cell) = 0.00
- V (A^3/atom) = 16.58

=====

Q:
Entry from the Alexandria database: a relaxed LuHAu crystal (PBE).

a = 5.026 Å, b = 5.026 Å, c = 5.026 Å
α = 139.60°, β = 139.60°, γ = 58.46°
Sites, in units of the cell vectors:
Lu: 0.000 0.000 0.000
H: 0.457 0.457 0.000
Au: 0.681 0.681 0.000

Properties
- SG = I4mm
- DOS at the Fermi energy (states/eV/cell) = 0.945
- total moment (μB/cell) = 0.00
- V (A^3/atom) = 17.62

=====

How do the energies compare? Relative to the most stable structure, in kJ/mol of atoms: P 0.0; Q 20.5.

=====

P:
Entry from the Alexandria database: a relaxed MgH2Au2 crystal (PBE).

a = 5.878 Å, b = 5.878 Å, c = 3.751 Å
α = 90.00°, β = 90.00°, γ = 90.00°
Sites, in units of the cell vectors:
Mg: 0.000 0.000 0.000
Mg: 0.500 0.500 0.000
H: 0.173 0.327 0.000
H: 0.327 0.827 0.000
H: 0.673 0.173 0.000
H: 0.827 0.673 0.000
Au: 0.176 0.324 0.500
Au: 0.324 0.824 0.500
Au: 0.676 0.176 0.500
Au: 0.824 0.676 0.500

Properties
- SG = P4/mbm
- DOS at the Fermi energy (states/eV/cell) = 2.172
- total moment (μB/cell) = 0.00
- V (A^3/atom) = 12.96

=====

Q:
Entry from the Alexandria database: a relaxed MgH2Au2 crystal (PBE).

a = 5.222 Å, b = 5.222 Å, c = 5.222 Å
α = 138.16°, β = 138.16°, γ = 60.65°
Sites, in units of the cell vectors:
Mg: 0.000 0.000 0.000
H: 0.250 0.750 0.500
H: 0.750 0.250 0.500
Au: 0.346 0.346 0.000
Au: 0.654 0.654 0.000

Properties
- SG = I4/mmm
- DOS at the Fermi energy (states/eV/cell) = 0.834
- total moment (μB/cell) = 0.00
- V (A^3/atom) = 12.53

=====

How do the energies compare? Relative to the most stable structure, in kJ/mol of atoms: P 0.0; Q 16.6.

=====

P:
Entry from the Alexandria database: a relaxed Mg2HAu crystal (PBE).

a = 7.014 Å, b = 7.014 Å, c = 7.014 Å
α = 26.58°, β = 26.58°, γ = 26.58°
Sites, in units of the cell vectors:
Mg: 0.231 0.231 0.231
Mg: 0.769 0.769 0.769
H: 0.500 0.500 0.500
Au: 0.000 0.000 0.000

Properties
- SG = R-3m
- DOS at the Fermi energy (states/eV/cell) = 1.019
- total moment (μB/cell) = 0.00
- V (A^3/atom) = 15.23

=====

Q:
Entry from the Alexandria database: a relaxed Mg2HAu crystal (PBE).

a = 5.485 Å, b = 5.485 Å, c = 5.485 Å
α = 113.22°, β = 113.22°, γ = 102.20°
Sites, in units of the cell vectors:
Mg: 0.033 0.125 0.408
Mg: 0.375 0.967 0.092
Mg: 0.717 0.625 0.592
Mg: 0.875 0.283 0.908
H: 0.000 0.000 0.000
H: 0.750 0.250 0.500
Au: 0.250 0.750 0.500
Au: 0.500 0.500 0.000

Properties
- SG = I-42d
- DOS at the Fermi energy (states/eV/cell) = 0.505
- total moment (μB/cell) = 0.00
- V (A^3/atom) = 15.69

=====

R:
Entry from the Alexandria database: a relaxed Mg2HAu crystal (PBE).

a = 4.528 Å, b = 4.528 Å, c = 4.528 Å
α = 60.00°, β = 60.00°, γ = 60.00°
Sites, in units of the cell vectors:
Mg: 0.250 0.250 0.250
Mg: 0.750 0.750 0.750
H: 0.000 0.000 0.000
Au: 0.500 0.500 0.500

Properties
- SG = Fm-3m
- DOS at the Fermi energy (states/eV/cell) = 1.465
- total moment (μB/cell) = 0.00
- V (A^3/atom) = 16.41

=====

How do the energies compare? Relative to the most stable structure, in kJ/mol of atoms: P 2.8; Q 0.0; R 17.9.

=====

P:
Entry from the Alexandria database: a relaxed MgHAu3 crystal (PBE).

a = 5.044 Å, b = 5.044 Å, c = 5.044 Å
α = 90.00°, β = 90.00°, γ = 90.00°
Sites, in units of the cell vectors:
Mg: 0.000 0.000 0.000
H: 0.500 0.500 0.500
Au: 0.000 0.000 0.500
Au: 0.000 0.500 0.000
Au: 0.500 0.000 0.000

Properties
- SG = Pm-3m
- DOS at the Fermi energy (states/eV/cell) = 1.427
- total moment (μB/cell) = 0.94
- V (A^3/atom) = 25.67

=====

Q:
Entry from the Alexandria database: a relaxed MgHAu3 crystal (PBE).

a = 4.233 Å, b = 4.233 Å, c = 4.233 Å
α = 90.00°, β = 90.00°, γ = 90.00°
Sites, in units of the cell vectors:
Mg: 0.000 0.000 0.000
H: 0.500 0.500 0.500
Au: 0.000 0.500 0.500
Au: 0.500 0.000 0.500
Au: 0.500 0.500 0.000

Properties
- SG = Pm-3m
- DOS at the Fermi energy (states/eV/cell) = 1.252
- total moment (μB/cell) = 0.00
- V (A^3/atom) = 15.17

=====

How do the energies compare? Relative to the most stable structure, in kJ/mol of atoms: P 94.3; Q 0.0.

=====

P:
Entry from the Alexandria database: a relaxed MgNi2HAu crystal (PBE).

a = 3.816 Å, b = 3.816 Å, c = 3.991 Å
α = 90.00°, β = 90.00°, γ = 90.00°
Sites, in units of the cell vectors:
Mg: 0.000 0.000 0.000
Ni: 0.000 0.500 0.500
Ni: 0.500 0.000 0.500
H: 0.500 0.500 0.500
Au: 0.500 0.500 0.000

Properties
- SG = P4/mmm
- DOS at the Fermi energy (states/eV/cell) = 0.914
- total moment (μB/cell) = 0.00
- V (A^3/atom) = 11.62

=====

Q:
Entry from the Alexandria database: a relaxed MgNi2HAu crystal (PBE).

a = 3.749 Å, b = 3.749 Å, c = 4.078 Å
α = 90.00°, β = 90.00°, γ = 90.00°
Sites, in units of the cell vectors:
Mg: 0.000 0.000 0.000
Ni: 0.000 0.500 0.500
Ni: 0.500 0.000 0.500
H: 0.000 0.000 0.500
Au: 0.500 0.500 0.000

Properties
- SG = P4/mmm
- DOS at the Fermi energy (states/eV/cell) = 1.241
- total moment (μB/cell) = 0.00
- V (A^3/atom) = 11.46

=====

How do the energies compare? Relative to the most stable structure, in kJ/mol of atoms: P 7.1; Q 0.0.

=====

P:
Entry from the Alexandria database: a relaxed Mg2HPdAu crystal (PBE).

a = 4.574 Å, b = 4.574 Å, c = 3.455 Å
α = 90.00°, β = 90.00°, γ = 90.00°
Sites, in units of the cell vectors:
Mg: 0.000 0.500 0.000
Mg: 0.500 0.000 0.000
H: 0.000 0.000 0.000
Pd: 0.000 0.000 0.500
Au: 0.500 0.500 0.500

Properties
- SG = P4/mmm
- DOS at the Fermi energy (states/eV/cell) = 1.618
- total moment (μB/cell) = 0.00
- V (A^3/atom) = 14.45

=====

Q:
Entry from the Alexandria database: a relaxed Mg2HPdAu crystal (PBE).

a = 4.411 Å, b = 4.411 Å, c = 3.701 Å
α = 90.00°, β = 90.00°, γ = 90.00°
Sites, in units of the cell vectors:
Mg: 0.000 0.500 0.000
Mg: 0.500 0.000 0.000
H: 0.000 0.000 0.000
Pd: 0.500 0.500 0.500
Au: 0.000 0.000 0.500

Properties
- SG = P4/mmm
- DOS at the Fermi energy (states/eV/cell) = 1.849
- total moment (μB/cell) = 0.00
- V (A^3/atom) = 14.40

=====

How do the energies compare? Relative to the most stable structure, in kJ/mol of atoms: P 0.0; Q 11.3.

=====

P:
Entry from the Alexandria database: a relaxed MgHPdAu2 crystal (PBE).

a = 4.073 Å, b = 4.073 Å, c = 4.294 Å
α = 90.00°, β = 90.00°, γ = 90.00°
Sites, in units of the cell vectors:
Mg: 0.000 0.000 0.000
H: 0.000 0.000 0.500
Pd: 0.500 0.500 0.000
Au: 0.000 0.500 0.500
Au: 0.500 0.000 0.500

Properties
- SG = P4/mmm
- DOS at the Fermi energy (states/eV/cell) = 1.140
- total moment (μB/cell) = 0.00
- V (A^3/atom) = 14.25

=====

Q:
Entry from the Alexandria database: a relaxed MgHPdAu2 crystal (PBE).

a = 4.383 Å, b = 4.383 Å, c = 3.738 Å
α = 90.00°, β = 90.00°, γ = 90.00°
Sites, in units of the cell vectors:
Mg: 0.000 0.000 0.000
H: 0.500 0.500 0.500
Pd: 0.500 0.500 0.000
Au: 0.000 0.500 0.500
Au: 0.500 0.000 0.500

Properties
- SG = P4/mmm
- DOS at the Fermi energy (states/eV/cell) = 1.379
- total moment (μB/cell) = 0.00
- V (A^3/atom) = 14.36

=====

How do the energies compare? Relative to the most stable structure, in kJ/mol of atoms: P 5.8; Q 0.0.

=====

P:
Entry from the Alexandria database: a relaxed MgHRh2Au crystal (PBE).

a = 3.947 Å, b = 3.947 Å, c = 4.132 Å
α = 90.00°, β = 90.00°, γ = 90.00°
Sites, in units of the cell vectors:
Mg: 0.000 0.000 0.000
H: 0.000 0.000 0.500
Rh: 0.000 0.500 0.500
Rh: 0.500 0.000 0.500
Au: 0.500 0.500 0.000

Properties
- SG = P4/mmm
- DOS at the Fermi energy (states/eV/cell) = 5.755
- total moment (μB/cell) = 0.00
- V (A^3/atom) = 12.88

=====

Q:
Entry from the Alexandria database: a relaxed MgHRh2Au crystal (PBE).

a = 3.992 Å, b = 3.992 Å, c = 4.094 Å
α = 90.00°, β = 90.00°, γ = 90.00°
Sites, in units of the cell vectors:
Mg: 0.000 0.000 0.000
H: 0.500 0.500 0.500
Rh: 0.000 0.500 0.500
Rh: 0.500 0.000 0.500
Au: 0.500 0.500 0.000

Properties
- SG = P4/mmm
- DOS at the Fermi energy (states/eV/cell) = 5.762
- total moment (μB/cell) = 0.00
- V (A^3/atom) = 13.05

=====

How do the energies compare? Relative to the most stable structure, in kJ/mol of atoms: P 0.0; Q 5.9.